1.
# PBE RbLiZnF6, relaxed
# Fermi-level density of states = 0.34 states/eV/atom
# DFT total energy = -3.74 eV/atom
# Formation energy without anion corrections = -2032 meV/atom
data_RbLiZnF6
_space_group_name_H-M_alt 'P 3 1 2'
_space_group_IT_number 149
_space_group_name_Hall 'P 3 2'
_cell_length_a 5.3116
_cell_length_b 5.3116
_cell_length_c 6.0455
_cell_angle_alpha 90.00
_cell_angle_beta 90.00
_cell_angle_gamma 120.00
loop_
_atom_site_label
_atom_site_fract_x
_atom_site_fract_y
_atom_site_fract_z
Rb1 0.0000 0.0000 0.0000
Li1 0.3333 0.6667 0.5000
Zn1 0.6667 0.3333 0.5000
F1 0.3934 0.0153 0.6830


2.
# PBE Hf3MgAg, relaxed
# Formation enthalpy at 0 K = 0.96 eV/atom
# Energy above the lowest structure with this stoichiometry = 0 meV per atom
# Fermi-level density of states = 1.86 states/eV/atom
# DFT total energy = -5.90 eV/atom
data_Hf3MgAg
_space_group_name_H-M_alt 'P m -3 m'
_space_group_IT_number 221
_space_group_name_Hall '-P 4 2 3'
_cell_length_a 5.118
_cell_length_b 5.118
_cell_length_c 5.118
_cell_angle_alpha 90.00
_cell_angle_beta 90.00
_cell_angle_gamma 90.00
loop_
_atom_site_label
_atom_site_fract_x
_atom_site_fract_y
_atom_site_fract_z
Hf1 0.000 0.000 0.500
Mg1 0.500 0.500 0.500
Ag1 0.000 0.000 0.000


3.
# PBE ZrZn3As, relaxed
# Formation enthalpy at 0 K = 0.59 eV/atom
# Energy above the lowest structure with this stoichiometry = 0 meV per atom
# Fermi-level density of states = 0.68 states/eV/atom
# DFT total energy = -2.81 eV/atom
data_ZrZn3As
_space_group_name_H-M_alt 'P m -3 m'
_space_group_IT_number 221
_space_group_name_Hall '-P 4 2 3'
_cell_length_a 4.725
_cell_length_b 4.725
_cell_length_c 4.725
_cell_angle_alpha 90.00
_cell_angle_beta 90.00
_cell_angle_gamma 90.00
loop_
_atom_site_label
_atom_site_fract_x
_atom_site_fract_y
_atom_site_fract_z
Zr1 0.000 0.000 0.000
Zn1 0.000 0.500 0.500
As1 0.500 0.500 0.500


4.
# PBE CoMoOs2, relaxed
# Formation enthalpy at 0 K = 0.12 eV/atom
# Energy above the lowest structure with this stoichiometry = 89 meV per atom
# Fermi-level density of states = 0.99 states/eV/atom
# DFT total energy = -9.98 eV/atom
data_CoMoOs2
_space_group_name_H-M_alt 'P 4 m m'
_space_group_IT_number 99
_space_group_name_Hall 'P 4 -2'
_cell_length_a 2.702
_cell_length_b 2.702
_cell_length_c 7.581
_cell_angle_alpha 90.00
_cell_angle_beta 90.00
_cell_angle_gamma 90.00
loop_
_atom_site_label
_atom_site_fract_x
_atom_site_fract_y
_atom_site_fract_z
Co1 0.000 0.000 0.000
Mo1 0.500 0.500 0.237
Os1 0.000 0.000 0.518
Os2 0.500 0.500 0.761


5.
# PBE SrAcCe2P4, relaxed
# Formation enthalpy at 0 K = -1.38 eV/atom
# Fermi-level density of states = 0.97 states/eV/atom
# DFT total energy = -6.29 eV/atom
data_SrAcCe2P4
_space_group_name_H-M_alt 'P 1 2/m 1'
_space_group_IT_number 10
_space_group_name_Hall '-P 2y'
_cell_length_a 7.344
_cell_length_b 4.247
_cell_length_c 7.400
_cell_angle_alpha 90.00
_cell_angle_beta 109.28
_cell_angle_gamma 90.00
loop_
_atom_site_label
_atom_site_fract_x
_atom_site_fract_y
_atom_site_fract_z
Sr1 0.000 0.000 0.000
Ac1 0.500 0.500 0.000
Ce1 0.000 0.500 0.500
Ce2 0.500 0.000 0.500
P1 0.243 0.000 0.726
P2 0.261 0.500 0.278


6.
# PBE Tb3In2Au2, relaxed
# Formation enthalpy at 0 K = -0.66 eV/atom
# Fermi-level density of states = 0.89 states/eV/atom
# DFT total energy = -4.36 eV/atom
data_Tb3In2Au2
_space_group_name_H-M_alt 'C m m m'
_space_group_IT_number 65
_space_group_name_Hall '-C 2 2'
_cell_length_a 4.474
_cell_length_b 21.920
_cell_length_c 3.549
_cell_angle_alpha 90.00
_cell_angle_beta 90.00
_cell_angle_gamma 90.00
loop_
_atom_site_label
_atom_site_fract_x
_atom_site_fract_y
_atom_site_fract_z
Tb1 0.000 0.000 0.000
Tb2 0.000 0.165 0.000
In1 0.000 0.422 0.500
Au1 0.000 0.289 0.500


7.
# PBE YP2Au, relaxed
# Formation enthalpy at 0 K = -0.35 eV/atom
# Energy above the lowest structure with this stoichiometry = 376 meV per atom
# Fermi-level density of states = 0.35 states/eV/atom
# DFT total energy = -5.49 eV/atom
data_YP2Au
_space_group_name_H-M_alt 'P 4/m m m'
_space_group_IT_number 123
_space_group_name_Hall '-P 4 2'
_cell_length_a 3.802
_cell_length_b 3.802
_cell_length_c 5.864
_cell_angle_alpha 90.00
_cell_angle_beta 90.00
_cell_angle_gamma 90.00
loop_
_atom_site_label
_atom_site_fract_x
_atom_site_fract_y
_atom_site_fract_z
Y1 0.000 0.000 0.000
P1 0.500 0.500 0.190
Au1 0.000 0.000 0.500


8.
# PBE Nd4Te2CN, relaxed
# Fermi-level density of states = 0.33 states/eV/atom
# DFT total energy = -6.41 eV/atom
# Formation energy without anion corrections = -1048 meV/atom
data_Nd4Te2CN
_space_group_name_H-M_alt 'P 1 2/m 1'
_space_group_IT_number 10
_space_group_name_Hall '-P 2y'
_cell_length_a 6.843
_cell_length_b 3.951
_cell_length_c 7.583
_cell_angle_alpha 90.00
_cell_angle_beta 107.55
_cell_angle_gamma 90.00
loop_
_atom_site_label
_atom_site_fract_x
_atom_site_fract_y
_atom_site_fract_z
Nd1 0.230 0.000 0.189
Nd2 0.269 0.500 0.807
Te1 0.000 0.000 0.500
Te2 0.500 0.500 0.500
C1 0.500 0.000 0.000
N1 0.000 0.500 0.000


9.
# PBE RbSn2Ru, relaxed
# Formation enthalpy at 0 K = 0.57 eV/atom
# Energy above the lowest structure with this stoichiometry = 475 meV per atom
# Fermi-level density of states = 0.88 states/eV/atom
# DFT total energy = -3.99 eV/atom
data_RbSn2Ru
_space_group_name_H-M_alt 'F m -3 m'
_space_group_IT_number 225
_space_group_name_Hall '-F 4 2 3'
_cell_length_a 7.208
_cell_length_b 7.208
_cell_length_c 7.208
_cell_angle_alpha 90.00
_cell_angle_beta 90.00
_cell_angle_gamma 90.00
loop_
_atom_site_label
_atom_site_fract_x
_atom_site_fract_y
_atom_site_fract_z
Rb1 0.000 0.000 0.000
Sn1 0.250 0.250 0.250
Ru1 0.000 0.000 0.500


10.
# PBE SnBi2S4, relaxed
# DFT total energy = -4.22 eV/atom
# Formation energy without anion corrections = -183 meV/atom
data_SnBi2S4
_space_group_name_H-M_alt 'P 1 21/m 1'
_space_group_IT_number 11
_space_group_name_Hall '-P 2yb'
_cell_length_a 7.510
_cell_length_b 7.632
_cell_length_c 7.630
_cell_angle_alpha 90.00
_cell_angle_beta 95.22
_cell_angle_gamma 90.00
loop_
_atom_site_label
_atom_site_fract_x
_atom_site_fract_y
_atom_site_fract_z
Sn1 0.211 0.250 0.119
Bi1 0.308 0.750 0.989
Bi2 0.323 0.750 0.454
S1 0.057 0.750 0.201
S2 0.065 0.750 0.706
S3 0.455 0.008 0.250


11.
# PBE NaTaO3, relaxed
# Fermi-level density of states = 0.00 states/eV/atom
# DFT total energy = -8.07 eV/atom
# Formation energy without anion corrections = -2457 meV/atom
data_NaTaO3
_space_group_name_H-M_alt 'A m m 2'
_space_group_IT_number 38
_space_group_name_Hall 'A 2 -2'
_cell_length_a 3.020
_cell_length_b 6.480
_cell_length_c 10.041
_cell_angle_alpha 90.00
_cell_angle_beta 90.00
_cell_angle_gamma 90.00
loop_
_atom_site_label
_atom_site_fract_x
_atom_site_fract_y
_atom_site_fract_z
Na1 0.000 0.000 0.000
Ta1 0.500 0.000 0.344
O1 0.000 0.195 0.388
O2 0.500 0.000 0.167


12.
# PBE RbBrF6, relaxed
# Fermi-level density of states = 0.00 states/eV/atom
# DFT total energy = -3.26 eV/atom
# Formation energy without anion corrections = -1525 meV/atom
data_RbBrF6
_space_group_name_H-M_alt 'R -3 m'
_space_group_IT_number 166
_space_group_name_Hall '-R 3 2"'
_cell_length_a 5.6684
_cell_length_b 5.6684
_cell_length_c 15.6063
_cell_angle_alpha 90.00
_cell_angle_beta 90.00
_cell_angle_gamma 120.00
loop_
_atom_site_label
_atom_site_fract_x
_atom_site_fract_y
_atom_site_fract_z
Rb1 0.0000 0.0000 0.0000
Br1 0.0000 0.0000 0.5000
F1 0.0185 0.5093 0.0958